Run A
The following is a meta-GGA SCAN calculation of a PBEsol-optimized structure of BeAu4, from the Alexandria database.

The structure in POSCAR format:
```
BeAu4
1.0
4.7777 0.0000 0.0000
-1.5926 4.5045 0.0000
-1.5926 -2.2522 3.9010
Be Au
1 4
Cartesian
0.0000 0.0000 0.0000 Be
-0.7963 -1.1261 1.9505 Au
-0.7963 2.2522 0.0000 Au
2.3889 0.0000 0.0000 Au
0.7963 1.1261 1.9505 Au
```

Calculated values
Total magnetization: 0.00 μB per formula unit

Run B
The following is a meta-GGA SCAN calculation of a PBEsol-optimized structure of BeAu4, from the Alexandria database.

The structure in POSCAR format:
```
BeAu4
1.0
-1.9065 1.4266 -1.5156
-4.7571 -1.1945 2.2311
-0.4670 4.7746 2.4534
Be Au
1 4
Cartesian
0.0000 0.0000 0.0000 Be
-2.3239 3.7356 1.1827 Au
-4.9771 4.1546 2.2863 Au
-4.8067 1.2712 1.9861 Au
-2.1534 0.8521 0.8825 Au
```

Calculated values
Total magnetization: 0.00 μB per formula unit

Most stable to least stable: run B, run A

Run A
The following is a meta-GGA SCAN calculation of a PBEsol-optimized structure of BeCuAu, from the Alexandria database.

The structure in POSCAR format:
```
BeCuAu
1.0
-3.4152 2.0273 0.4840
-2.3596 0.7249 -3.1488
-3.5118 -1.8858 -0.3444
Be Au Cu
1 1 1
Cartesian
0.0000 0.0000 0.0000 Be
-2.3217 0.2166 -0.7523 Au
-4.6433 0.4332 -1.5046 Cu
```

Calculated values
Total magnetization: 0.00 μB per formula unit

Run B
The following is a meta-GGA SCAN calculation of a PBEsol-optimized structure of BeCuAu, from the Alexandria database.

The structure in POSCAR format:
```
BeCuAu
1.0
-0.3865 -1.5925 2.3702
2.5066 -1.3348 -0.4880
1.0116 4.4877 1.4286
Be Au Cu
1 1 1
Cartesian
1.3409 1.9574 1.5338 Be
3.0803 1.4855 3.2520 Au
1.8422 -0.3219 1.8357 Cu
```

Calculated values
Total magnetization: 0.00 μB per formula unit

Most stable to least stable: run B, run A

Run A
The following is a meta-GGA SCAN calculation of a PBEsol-optimized structure of Be2CuAu2, from the Alexandria database.

The structure in POSCAR format:
```
Be2CuAu2
1.0
3.2338 0.0000 0.0000
0.0000 3.2338 0.0000
-1.6169 -1.6169 6.1863
Be Au Cu
2 2 1
Cartesian
0.0000 1.6169 3.0932 Be
1.6169 0.0000 3.0932 Be
0.0000 0.0000 4.7822 Au
1.6169 1.6169 1.4042 Au
0.0000 0.0000 0.0000 Cu
```

Calculated values
Total magnetization: 0.00 μB per formula unit

Run B
The following is a meta-GGA SCAN calculation of a PBEsol-optimized structure of Be2CuAu2, from the Alexandria database.

The structure in POSCAR format:
```
Be2CuAu2
1.0
-2.5218 -0.8202 0.7972
-1.1204 -2.5974 -6.2167
2.5892 -5.9841 2.0336
Be Au Cu
4 4 2
Cartesian
0.2527 -4.6815 0.7917 Be
0.2151 -7.1880 -1.9061 Be
-1.3056 -4.7202 -4.1777 Be
-1.2681 -2.2137 -1.4798 Be
1.8090 -5.9974 -0.4482 Au
0.7299 -6.0967 -3.9641 Au
-0.3402 -2.5841 -3.7349 Au
0.7389 -2.4848 -0.2190 Au
0.0000 0.0000 0.0000 Cu
0.7344 -4.2907 -2.0916 Cu
```

Calculated values
Total magnetization: 0.00 μB per formula unit

Most stable to least stable: run A, run B

Run A
The following is a meta-GGA SCAN calculation of a PBEsol-optimized structure of BeFeCuAu2, from the Alexandria database.

The structure in POSCAR format:
```
BeFeCuAu2
1.0
3.8466 0.0000 0.0000
0.0000 4.6454 0.0000
0.0000 0.0000 4.6454
Be Au Fe Cu
1 2 1 1
Cartesian
1.9233 0.0000 0.0000 Be
0.0000 0.0000 2.3227 Au
0.0000 2.3227 0.0000 Au
1.9233 2.3227 2.3227 Fe
0.0000 0.0000 0.0000 Cu
```

Calculated values
Total magnetization: 3.37 μB per formula unit

Run B
The following is a meta-GGA SCAN calculation of a PBEsol-optimized structure of BeFeCuAu2, from the Alexandria database.

The structure in POSCAR format:
```
BeFeCuAu2
1.0
4.2436 0.0000 0.0000
0.0000 4.6271 0.0000
0.0000 0.0000 4.6271
Be Au Fe Cu
1 2 1 1
Cartesian
2.1218 2.3135 2.3135 Be
0.0000 0.0000 2.3135 Au
0.0000 2.3135 0.0000 Au
2.1218 0.0000 0.0000 Fe
0.0000 0.0000 0.0000 Cu
```

Calculated values
Total magnetization: 3.19 μB per formula unit

Most stable to least stable: run A, run B

Run A
The following is a meta-GGA SCAN calculation of a PBEsol-optimized structure of BeInAu2, from the Alexandria database.

The structure in POSCAR format:
```
BeInAu2
1.0
-0.8368 0.4330 -4.4173
-2.1060 -3.3122 -2.2349
-4.2370 0.5918 -1.4485
Be Au In
1 2 1
Cartesian
0.0000 0.0000 0.0000 Be
-5.3848 -1.7155 -6.0756 Au
-1.7949 -0.5718 -2.0252 Au
-3.5899 -1.1437 -4.0504 In
```

Calculated values
Total magnetization: 0.00 μB per formula unit

Run B
The following is a meta-GGA SCAN calculation of a PBEsol-optimized structure of BeInAu2, from the Alexandria database.

The structure in POSCAR format:
```
BeInAu2
1.0
3.5552 0.0000 0.0000
0.0000 4.2911 0.0670
0.0000 -0.3895 4.2739
Be Au In
1 2 1
Cartesian
1.7776 0.0000 0.0000 Be
0.0000 2.1455 0.0335 Au
0.0000 -0.1948 2.1369 Au
1.7776 1.9508 2.1704 In
```

Calculated values
Total magnetization: 0.00 μB per formula unit

Most stable to least stable: run A, run B

Run A
The following is a meta-GGA SCAN calculation of a PBEsol-optimized structure of LaBeAu, from the Alexandria database.

The structure in POSCAR format:
```
LaBeAu
1.0
-1.6436 -3.9044 2.2798
-1.8478 -3.6575 -2.5203
2.3988 -4.1581 -0.3159
Be Au La
1 1 1
Cartesian
-0.5463 -5.8600 -0.2782 Be
0.0000 0.0000 0.0000 Au
-0.2732 -2.9300 -0.1391 La
```

Calculated values
Total magnetization: 0.00 μB per formula unit

Run B
The following is a meta-GGA SCAN calculation of a PBEsol-optimized structure of LaBeAu, from the Alexandria database.

The structure in POSCAR format:
```
LaBeAu
1.0
-0.8386 -4.1986 1.4430
3.3780 -2.5782 1.5350
0.2780 -0.9732 4.4034
Be Au La
1 1 1
Cartesian
0.7044 -1.9375 1.8453 Be
1.4087 -3.8750 3.6907 Au
0.0000 0.0000 0.0000 La
```

Calculated values
Total magnetization: 0.00 μB per formula unit

Most stable to least stable: run B, run A

Run A
The following is a meta-GGA SCAN calculation of a PBEsol-optimized structure of BeMo2Au, from the Alexandria database.

The structure in POSCAR format:
```
BeMo2Au
1.0
2.6986 0.0000 0.0000
0.0000 2.6986 0.0000
0.0000 0.0000 7.5414
Be Mo Au
1 2 1
Cartesian
1.3493 1.3493 3.7707 Be
0.0000 0.0000 5.3548 Mo
0.0000 0.0000 2.1866 Mo
1.3493 1.3493 0.0000 Au
```

Calculated values
Total magnetization: 0.00 μB per formula unit

Run B
The following is a meta-GGA SCAN calculation of a PBEsol-optimized structure of BeMo2Au, from the Alexandria database.

The structure in POSCAR format:
```
BeMo2Au
1.0
3.1388 0.0000 0.0000
0.0000 3.1388 0.0000
0.0000 0.0000 5.8194
Be Mo Au
1 2 1
Cartesian
1.5694 1.5694 4.4196 Be
0.0000 0.0000 5.7756 Mo
1.5694 1.5694 1.2602 Mo
0.0000 0.0000 3.0932 Au
```

Calculated values
Total magnetization: 0.00 μB per formula unit

Most stable to least stable: run B, run A

Run A
The following is a meta-GGA SCAN calculation of a PBEsol-optimized structure of BeMo2Au, from the Alexandria database.

The structure in POSCAR format:
```
BeMo2Au
1.0
-0.8934 2.1423 -1.4318
-1.1088 -0.3730 -2.4635
-8.7276 -0.2609 2.4582
Be Mo Au
1 2 1
Cartesian
-5.3649 0.7542 -0.7186 Be
-2.8397 0.3605 -0.2860 Mo
-7.8901 1.1479 -1.1511 Mo
0.0000 0.0000 0.0000 Au
```

Calculated values
Total magnetization: 0.00 μB per formula unit

Run B
The following is a meta-GGA SCAN calculation of a PBEsol-optimized structure of BeMo2Au, from the Alexandria database.

The structure in POSCAR format:
```
BeMo2Au
1.0
2.7515 0.0000 0.0000
0.0000 4.0667 0.0000
0.0000 0.0000 5.0858
Be Mo Au
1 2 1
Cartesian
1.3757 2.0333 2.5429 Be
0.0000 0.0000 3.7029 Mo
0.0000 0.0000 1.3829 Mo
1.3757 2.0333 0.0000 Au
```

Calculated values
Total magnetization: 0.00 μB per formula unit

Most stable to least stable: run B, run A

Run A
The following is a meta-GGA SCAN calculation of a PBEsol-optimized structure of BePtAu, from the Alexandria database.

The structure in POSCAR format:
```
BePtAu
1.0
-2.9067 -0.3904 0.1725
0.3712 -3.5781 -1.8423
0.2083 0.2294 4.0297
Be Au Pt
1 1 1
Cartesian
-1.3923 -1.2620 2.1706 Be
-2.8064 -0.3769 0.1665 Au
-1.0353 -2.4905 0.1953 Pt
```

Calculated values
Total magnetization: 0.00 μB per formula unit

Run B
The following is a meta-GGA SCAN calculation of a PBEsol-optimized structure of BePtAu, from the Alexandria database.

The structure in POSCAR format:
```
BePtAu
1.0
4.1565 0.0000 0.0000
2.0782 3.5996 0.0000
2.0782 1.1999 3.3937
Be Au Pt
1 1 1
Cartesian
0.0000 0.0000 0.0000 Be
2.0782 1.1999 0.8484 Au
4.1565 2.3997 1.6969 Pt
```

Calculated values
Total magnetization: 0.00 μB per formula unit

Most stable to least stable: run A, run B

Run A
The following is a meta-GGA SCAN calculation of a PBEsol-optimized structure of BeSbAu2, from the Alexandria database.

The structure in POSCAR format:
```
BeSbAu2
1.0
3.8936 0.0000 0.0000
-1.9468 3.3720 0.0000
0.0000 0.0000 5.4707
Sb Au Be
1 2 1
Cartesian
0.0000 0.0000 2.7354 Sb
0.0000 2.2480 4.5821 Au
1.9468 1.1240 0.8886 Au
0.0000 0.0000 0.0000 Be
```

Calculated values
Total magnetization: 0.00 μB per formula unit

Run B
The following is a meta-GGA SCAN calculation of a PBEsol-optimized structure of BeSbAu2, from the Alexandria database.

The structure in POSCAR format:
```
BeSbAu2
1.0
4.0891 0.0000 0.0000
0.0000 4.1183 -0.0142
0.0000 -0.6539 4.4519
Sb Au Be
1 2 1
Cartesian
2.0445 0.3786 3.1598 Sb
0.0000 3.8601 0.0484 Au
2.0445 2.3487 1.2052 Au
0.0000 2.7275 2.2288 Be
```

Calculated values
Total magnetization: 0.00 μB per formula unit

Most stable to least stable: run A, run B

Run A
The following is a meta-GGA SCAN calculation of a PBEsol-optimized structure of BeSbAu2, from the Alexandria database.

The structure in POSCAR format:
```
BeSbAu2
1.0
-2.3031 1.8205 2.7284
1.3105 -2.5455 2.8046
3.7222 3.0487 -1.8358
Sb Au Be
1 2 1
Cartesian
0.0000 0.0000 0.0000 Sb
0.4613 2.2533 1.8296 Au
2.2682 0.0704 1.8677 Au
-0.4963 -0.3625 2.7665 Be
```

Calculated values
Total magnetization: 0.00 μB per formula unit

Run B
The following is a meta-GGA SCAN calculation of a PBEsol-optimized structure of BeSbAu2, from the Alexandria database.

The structure in POSCAR format:
```
BeSbAu2
1.0
-2.0587 4.0542 0.9261
-3.3149 0.2325 3.2388
0.8329 2.1598 4.0216
Sb Au Be
1 2 1
Cartesian
-1.1351 1.6116 2.0466 Sb
0.0000 0.0000 0.0000 Au
-3.4054 4.8349 6.1398 Au
-2.2703 3.2232 4.0932 Be
```

Calculated values
Total magnetization: 0.00 μB per formula unit

Most stable to least stable: run A, run B

Run A
The following is a meta-GGA SCAN calculation of a PBEsol-optimized structure of SrBeAu3, from the Alexandria database.

The structure in POSCAR format:
```
SrBeAu3
1.0
4.6004 0.0000 0.0000
0.0000 4.6004 0.0000
0.0000 0.0000 4.6004
Sr Au Be
1 3 1
Cartesian
2.3002 2.3002 2.3002 Sr
0.0000 2.3002 0.0000 Au
0.0000 0.0000 2.3002 Au
2.3002 0.0000 0.0000 Au
0.0000 0.0000 0.0000 Be
```

Calculated values
Total magnetization: 0.00 μB per formula unit

Run B
The following is a meta-GGA SCAN calculation of a PBEsol-optimized structure of SrBeAu3, from the Alexandria database.

The structure in POSCAR format:
```
SrBeAu3
1.0
5.5635 0.0000 0.0000
0.0000 5.5635 0.0000
0.0000 0.0000 5.5635
Sr Au Be
1 3 1
Cartesian
0.0000 0.0000 0.0000 Sr
0.0000 2.7818 0.0000 Au
0.0000 0.0000 2.7818 Au
2.7818 0.0000 0.0000 Au
2.7818 2.7818 2.7818 Be
```

Calculated values
Total magnetization: 0.00 μB per formula unit

Most stable to least stable: run A, run B

Run A
The following is a meta-GGA SCAN calculation of a PBEsol-optimized structure of Be2TlAu, from the Alexandria database.

The structure in POSCAR format:
```
Be2TlAu
1.0
-3.0509 -2.1014 2.2449
-2.0208 -1.0134 -3.6949
6.7563 -5.0888 0.2395
Be Tl Au
4 2 2
Cartesian
2.4026 -5.5100 0.1971 Be
3.9281 -4.4593 -0.9254 Be
-1.9859 -3.4722 -1.7701 Be
-0.9755 -2.9656 0.0773 Be
0.0000 0.0000 0.0000 Tl
1.0998 -3.8297 -2.0902 Tl
-2.5359 -1.5574 -0.7250 Au
0.5848 -4.3738 0.8797 Au
```

Calculated values
Total magnetization: 0.00 μB per formula unit

Run B
The following is a meta-GGA SCAN calculation of a PBEsol-optimized structure of Be2TlAu, from the Alexandria database.

The structure in POSCAR format:
```
Be2TlAu
1.0
4.0376 -0.0037 0.0000
-2.0125 3.5003 0.0000
0.0000 0.0000 5.0904
Be Tl Au
2 1 1
Cartesian
-1.8606 3.4123 0.0000 Be
0.1396 2.2539 0.0000 Be
0.5621 2.0092 2.5452 Tl
2.1840 1.0698 0.0000 Au
```

Calculated values
Total magnetization: 0.00 μB per formula unit

Most stable to least stable: run B, run A

Run A
The following is a meta-GGA SCAN calculation of a PBEsol-optimized structure of Be2ZnAu2, from the Alexandria database.

The structure in POSCAR format:
```
Be2ZnAu2
1.0
-1.7964 -2.2543 1.5402
-0.4669 -1.5629 -2.8320
6.2854 -1.4953 1.6747
Be Zn Au
2 1 2
Cartesian
2.3434 -2.4834 -0.9016 Be
1.6787 -2.8291 1.2845 Be
0.0000 0.0000 0.0000 Zn
3.9746 -2.6251 0.7934 Au
0.0475 -2.6874 -0.4105 Au
```

Calculated values
Total magnetization: 0.00 μB per formula unit

Run B
The following is a meta-GGA SCAN calculation of a PBEsol-optimized structure of Be2ZnAu2, from the Alexandria database.

The structure in POSCAR format:
```
Be2ZnAu2
1.0
-0.3269 0.5337 2.7912
-6.7982 -0.1872 -0.7604
0.0408 -6.7204 1.2897
Be Zn Au
4 2 4
Cartesian
-1.1116 -4.0834 2.1163 Be
-4.5020 -5.6108 2.0113 Be
-5.9728 -2.2906 1.2042 Be
-2.5824 -0.7632 1.3092 Be
0.0000 0.0000 0.0000 Zn
-3.3787 -3.4538 0.2646 Zn
-2.3275 -5.7604 0.8288 Au
-5.7346 -4.5440 0.1971 Au
-4.4299 -1.1473 -0.2995 Au
-1.0228 -2.3637 0.3321 Au
```

Calculated values
Total magnetization: 0.00 μB per formula unit

Most stable to least stable: run A, run B